A plane-wave DFT calculation with PBE was carried out for a relaxed structure of Sm6DyEr2Th.

Results
* raw total energy: -4.800 eV/atom
* formation energy from the elements: 147 meV per atom
* total moment: 0.000 Bohr magnetons per cell
* space-group type: No. 15

a b c (Å): 8.824 8.824 9.552
angles (deg): 93.48 93.48 116.03
Atoms (fractional coordinates):
Sm1 0.010 0.571 0.186
Sm2 0.112 0.764 0.559
Sm3 0.236 0.888 0.941
Sm4 0.295 0.518 0.383
Sm5 0.429 0.990 0.314
Sm6 0.482 0.705 0.117
Sm7 0.518 0.295 0.883
Sm8 0.571 0.010 0.686
Sm9 0.705 0.482 0.617
Sm10 0.764 0.112 0.059
Sm11 0.888 0.236 0.441
Sm12 0.990 0.429 0.814
Dy1 0.409 0.591 0.750
Dy2 0.591 0.409 0.250
Er1 0.202 0.296 0.052
Er2 0.296 0.202 0.552
Er3 0.704 0.798 0.448
Er4 0.798 0.704 0.948
Th1 0.032 0.968 0.250
Th2 0.968 0.032 0.750